#i
BaFe2Br: optimized geometry, GGA-PBEsol.

- V (Å³/cell) = 94.7
- SG = Pmmm, No. 47
- N(E_F) (states/eV per cell) = 6.09
- total magnetic moment (μB/atom) = 1.456

POSCAR file:
```
BaFe2Br
1.0
3.459 0.000 0.000
0.000 4.869 0.000
0.000 0.000 5.621
Ba Fe Br
1 2 1
Cartesian
0.000 0.000 0.000 Ba
0.000 2.434 2.811 Fe
1.729 0.000 2.811 Fe
1.729 2.434 0.000 Br
```


#ii
BaFe2Br: optimized geometry, GGA-PBEsol.

- V (Å³/cell) = 100.3
- SG = Pmmm, No. 47
- N(E_F) (states/eV per cell) = 3.42
- total magnetic moment (μB/atom) = 1.296

POSCAR file:
```
BaFe2Br
1.0
4.491 0.000 0.000
0.000 4.705 0.000
0.000 0.000 4.745
Ba Fe Br
1 2 1
Cartesian
0.000 0.000 0.000 Ba
2.246 2.353 1.072 Fe
2.246 2.353 3.672 Fe
2.246 0.000 2.372 Br
```


The winner here is #ii, beating the second structure by 264 meV/atom.


#i
BaFe2Br: optimized geometry, GGA-PBEsol.

- V (Å³/cell) = 96.0
- SG = C2/m, No. 12
- N(E_F) (states/eV per cell) = 5.31
- total magnetic moment (μB/atom) = 1.493

POSCAR file:
```
BaFe2Br
1.0
2.942 -5.638 0.000
2.942 5.638 0.000
-2.214 0.000 2.894
Ba Fe Br
1 2 1
Cartesian
0.000 0.000 0.000 Ba
0.364 2.819 1.447 Fe
0.364 -2.819 1.447 Fe
2.942 0.000 0.000 Br
```


#ii
BaFe2Br: optimized geometry, GGA-PBEsol.

- V (Å³/cell) = 81.8
- SG = Fm-3m, No. 225
- N(E_F) (states/eV per cell) = 4.51
- total magnetic moment (μB/atom) = 1.362

POSCAR file:
```
BaFe2Br
1.0
0.000 3.445 3.445
3.445 0.000 3.445
3.445 3.445 0.000
Ba Fe Br
1 2 1
Cartesian
0.000 0.000 0.000 Ba
1.723 1.723 1.723 Fe
5.168 5.168 5.168 Fe
3.445 3.445 3.445 Br
```


#iii
BaFe2Br: optimized geometry, GGA-PBEsol.

- V (Å³/cell) = 91.1
- SG = P4/mmm, No. 123
- N(E_F) (states/eV per cell) = 4.86
- total magnetic moment (μB/atom) = 1.550

POSCAR file:
```
BaFe2Br
1.0
3.697 0.000 0.000
0.000 3.697 0.000
0.000 0.000 6.667
Ba Fe Br
1 2 1
Cartesian
0.000 0.000 0.000 Ba
1.849 1.849 2.231 Fe
1.849 1.849 4.436 Fe
0.000 0.000 3.334 Br
```


The winner here is #i, beating the second structure by 105 meV/atom.


#i
BaFeBr2: optimized geometry, GGA-PBEsol.

- V (Å³/cell) = 109.0
- SG = Fm-3m, No. 225
- N(E_F) (states/eV per cell) = 3.34
- total magnetic moment (μB/atom) = 1.004

POSCAR file:
```
BaFeBr2
1.0
0.000 3.791 3.791
3.791 0.000 3.791
3.791 3.791 0.000
Ba Fe Br
1 1 2
Cartesian
0.000 0.000 0.000 Ba
3.791 3.791 3.791 Fe
1.895 1.895 1.895 Br
5.686 5.686 5.686 Br
```


#ii
BaFeBr2: optimized geometry, GGA-PBEsol.

- V (Å³/cell) = 112.3
- SG = I-4m2, No. 119
- N(E_F) (states/eV per cell) = 4.21
- total magnetic moment (μB/atom) = 0.925

POSCAR file:
```
BaFeBr2
1.0
-2.249 2.249 5.550
2.249 -2.249 5.550
2.249 2.249 -5.550
Ba Fe Br
1 1 2
Cartesian
0.000 0.000 0.000 Ba
2.249 0.000 2.775 Fe
0.000 0.000 5.550 Br
0.000 2.249 2.775 Br
```


The winner here is #i, beating the second structure by 129 meV/atom.


#i
BaHgBr2: optimized geometry, GGA-PBEsol.

- V (Å³/cell) = 122.4
- SG = Fm-3m, No. 225
- N(E_F) (states/eV per cell) = 0.00
- total magnetic moment (μB/atom) = 0.000

POSCAR file:
```
BaHgBr2
1.0
0.000 3.940 3.940
3.940 0.000 3.940
3.940 3.940 0.000
Ba Hg Br
1 1 2
Cartesian
0.000 0.000 0.000 Ba
3.940 3.940 3.940 Hg
1.970 1.970 1.970 Br
5.911 5.911 5.911 Br
```


#ii
BaHgBr2: optimized geometry, GGA-PBEsol.

- V (Å³/cell) = 120.3
- SG = I-4m2, No. 119
- N(E_F) (states/eV per cell) = 0.00
- total magnetic moment (μB/atom) = 0.000

POSCAR file:
```
BaHgBr2
1.0
-2.389 2.389 5.267
2.389 -2.389 5.267
2.389 2.389 -5.267
Ba Hg Br
1 1 2
Cartesian
0.000 0.000 0.000 Ba
2.389 0.000 2.634 Hg
0.000 0.000 5.267 Br
0.000 2.389 2.634 Br
```


The winner here is #i, beating the second structure by 101 meV/atom.


#i
BaLa2Br: optimized geometry, GGA-PBEsol.

- V (Å³/cell) = 137.6
- SG = P2/m, No. 10
- N(E_F) (states/eV per cell) = 4.49
- total magnetic moment (μB/atom) = 0.000

POSCAR file:
```
BaLa2Br
1.0
3.893 0.000 0.000
0.000 6.422 0.000
-0.288 0.000 5.503
Ba La Br
1 2 1
Cartesian
0.000 0.000 0.000 Ba
1.072 3.211 4.148 La
2.533 3.211 1.354 La
1.802 0.000 2.751 Br
```


#ii
BaLa2Br: optimized geometry, GGA-PBEsol.

- V (Å³/cell) = 140.0
- SG = R-3m, No. 166
- N(E_F) (states/eV per cell) = 4.45
- total magnetic moment (μB/atom) = 0.000

POSCAR file:
```
BaLa2Br
1.0
1.917 1.107 10.993
-1.917 1.107 10.993
0.000 -2.214 10.993
Ba La Br
1 2 1
Cartesian
0.000 0.000 0.000 Ba
0.000 0.000 7.777 La
0.000 0.000 25.203 La
0.000 0.000 16.490 Br
```


#iii
BaLa2Br: optimized geometry, GGA-PBEsol.

- V (Å³/cell) = 132.5
- SG = Imm2, No. 44
- N(E_F) (states/eV per cell) = 5.22
- total magnetic moment (μB/atom) = 0.000

POSCAR file:
```
BaLa2Br
1.0
-1.822 2.592 7.014
1.822 -2.592 7.014
1.822 2.592 -7.014
Ba La Br
1 2 1
Cartesian
0.000 0.000 0.000 Ba
0.000 0.000 5.542 La
0.000 2.592 2.865 La
1.822 0.000 2.896 Br
```


#iv
BaLa2Br: optimized geometry, GGA-PBEsol.

- V (Å³/cell) = 133.8
- SG = Pmmm, No. 47
- N(E_F) (states/eV per cell) = 4.71
- total magnetic moment (μB/atom) = 0.000

POSCAR file:
```
BaLa2Br
1.0
3.647 0.000 0.000
0.000 5.806 0.000
0.000 0.000 6.321
Ba La Br
1 2 1
Cartesian
0.000 0.000 0.000 Ba
0.000 2.903 3.160 La
1.823 0.000 3.160 La
1.823 2.903 0.000 Br
```


The winner here is #ii, beating the second structure by 87 meV/atom.


#i
BaLiBr2: optimized geometry, GGA-PBEsol.

- V (Å³/cell) = 109.0
- SG = P4/mmm, No. 123
- N(E_F) (states/eV per cell) = 1.25
- total magnetic moment (μB/atom) = 0.000

POSCAR file:
```
BaLiBr2
1.0
5.198 0.000 0.000
0.000 5.198 0.000
0.000 0.000 4.034
Ba Li Br
1 1 2
Cartesian
0.000 0.000 0.000 Ba
2.599 2.599 0.000 Li
0.000 2.599 2.017 Br
2.599 0.000 2.017 Br
```


#ii
BaLiBr2: optimized geometry, GGA-PBEsol.

- V (Å³/cell) = 117.8
- SG = Fm-3m, No. 225
- N(E_F) (states/eV per cell) = 2.18
- total magnetic moment (μB/atom) = 0.212

POSCAR file:
```
BaLiBr2
1.0
0.000 3.891 3.891
3.891 0.000 3.891
3.891 3.891 0.000
Ba Li Br
1 1 2
Cartesian
0.000 0.000 0.000 Ba
3.891 3.891 3.891 Li
1.945 1.945 1.945 Br
5.836 5.836 5.836 Br
```


The winner here is #i, beating the second structure by 81 meV/atom.


#i
BaMg2Br: optimized geometry, GGA-PBEsol.

- V (Å³/cell) = 126.1
- SG = I-4m2, No. 119
- N(E_F) (states/eV per cell) = 3.41
- total magnetic moment (μB/atom) = 0.000

POSCAR file:
```
BaMg2Br
1.0
-2.588 2.588 4.708
2.588 -2.588 4.708
2.588 2.588 -4.708
Ba Mg Br
1 2 1
Cartesian
0.000 0.000 0.000 Ba
2.588 0.000 2.354 Mg
0.000 0.000 4.708 Mg
0.000 2.588 2.354 Br
```


#ii
BaMg2Br: optimized geometry, GGA-PBEsol.

- V (Å³/cell) = 131.8
- SG = P4/mmm, No. 123
- N(E_F) (states/eV per cell) = 2.00
- total magnetic moment (μB/atom) = 0.000

POSCAR file:
```
BaMg2Br
1.0
4.524 0.000 0.000
0.000 4.524 0.000
0.000 0.000 6.438
Ba Mg Br
1 2 1
Cartesian
0.000 0.000 0.000 Ba
0.000 2.262 3.219 Mg
2.262 0.000 3.219 Mg
2.262 2.262 0.000 Br
```


The winner here is #ii, beating the second structure by 118 meV/atom.


#i
BaMnBr2: optimized geometry, GGA-PBEsol.

- V (Å³/cell) = 116.6
- SG = P4mm, No. 99
- N(E_F) (states/eV per cell) = 2.84
- total magnetic moment (μB/atom) = 1.255

POSCAR file:
```
BaMnBr2
1.0
4.103 0.000 0.000
0.000 4.103 0.000
0.000 0.000 6.930
Ba Mn Br
1 1 2
Cartesian
0.000 0.000 0.000 Ba
2.051 2.051 4.387 Mn
0.000 0.000 3.744 Br
2.051 2.051 1.644 Br
```


#ii
BaMnBr2: optimized geometry, GGA-PBEsol.

- V (Å³/cell) = 171.7
- SG = R-3m, No. 166
- N(E_F) (states/eV per cell) = 1.94
- total magnetic moment (μB/atom) = 1.250

POSCAR file:
```
BaMnBr2
1.0
2.358 1.361 8.912
-2.358 1.361 8.912
0.000 -2.723 8.912
Ba Mn Br
1 1 2
Cartesian
0.000 0.000 0.000 Ba
0.000 0.000 13.368 Mn
0.000 0.000 7.263 Br
0.000 0.000 19.473 Br
```


The winner here is #i, beating the second structure by 147 meV/atom.


#i
BaMn2Br: optimized geometry, GGA-PBEsol.

- V (Å³/cell) = 101.2
- SG = Immm, No. 71
- N(E_F) (states/eV per cell) = 3.46
- total magnetic moment (μB/atom) = 2.150

POSCAR file:
```
BaMn2Br
1.0
-1.727 2.617 5.598
1.727 -2.617 5.598
1.727 2.617 -5.598
Ba Mn Br
1 2 1
Cartesian
0.000 0.000 0.000 Ba
1.727 0.000 3.002 Mn
0.000 2.617 2.596 Mn
0.000 0.000 5.598 Br
```


#ii
BaMn2Br: optimized geometry, GGA-PBEsol.

- V (Å³/cell) = 102.5
- SG = P4/mmm, No. 123
- N(E_F) (states/eV per cell) = 3.82
- total magnetic moment (μB/atom) = 2.227

POSCAR file:
```
BaMn2Br
1.0
3.688 0.000 0.000
0.000 3.688 0.000
0.000 0.000 7.531
Ba Mn Br
1 2 1
Cartesian
0.000 0.000 0.000 Ba
1.844 1.844 2.399 Mn
1.844 1.844 5.132 Mn
0.000 0.000 3.766 Br
```


The winner here is #i, beating the second structure by 236 meV/atom.


#i
BaMoBr2: optimized geometry, GGA-PBEsol.

- V (Å³/cell) = 116.4
- SG = I-4m2, No. 119
- N(E_F) (states/eV per cell) = 2.49
- total magnetic moment (μB/atom) = 1.207

POSCAR file:
```
BaMoBr2
1.0
-2.224 2.224 5.883
2.224 -2.224 5.883
2.224 2.224 -5.883
Ba Mo Br
1 1 2
Cartesian
0.000 0.000 0.000 Ba
2.224 0.000 2.941 Mo
0.000 0.000 5.883 Br
0.000 2.224 2.941 Br
```


#ii
BaMoBr2: optimized geometry, GGA-PBEsol.

- V (Å³/cell) = 108.4
- SG = P4/mmm, No. 123
- N(E_F) (states/eV per cell) = 2.18
- total magnetic moment (μB/atom) = 1.180

POSCAR file:
```
BaMoBr2
1.0
5.130 0.000 0.000
0.000 5.130 0.000
0.000 0.000 4.118
Ba Mo Br
1 1 2
Cartesian
0.000 0.000 0.000 Ba
2.565 2.565 0.000 Mo
0.000 2.565 2.059 Br
2.565 0.000 2.059 Br
```


The winner here is #ii, beating the second structure by 57 meV/atom.


#i
BaMo2Br: optimized geometry, GGA-PBEsol.

- V (Å³/cell) = 91.4
- SG = P4mm, No. 99
- N(E_F) (states/eV per cell) = 3.91
- total magnetic moment (μB/atom) = 0.000

POSCAR file:
```
BaMo2Br
1.0
3.307 0.000 0.000
0.000 3.307 0.000
0.000 0.000 8.352
Ba Mo Br
1 2 1
Cartesian
0.000 0.000 0.000 Ba
0.000 0.000 4.637 Mo
1.654 1.654 5.755 Mo
1.654 1.654 2.359 Br
```


#ii
BaMo2Br: optimized geometry, GGA-PBEsol.

- V (Å³/cell) = 104.1
- SG = C2/m, No. 12
- N(E_F) (states/eV per cell) = 2.91
- total magnetic moment (μB/atom) = 0.000

POSCAR file:
```
BaMo2Br
1.0
6.331 -1.632 0.000
6.331 1.632 0.000
-2.317 0.000 5.035
Ba Mo Br
1 2 1
Cartesian
0.000 0.000 0.000 Ba
1.360 0.000 3.037 Mo
8.984 0.000 1.997 Mo
5.172 0.000 2.517 Br
```


#iii
BaMo2Br: optimized geometry, GGA-PBEsol.

- V (Å³/cell) = 92.3
- SG = Pm, No. 6
- N(E_F) (states/eV per cell) = 2.82
- total magnetic moment (μB/atom) = 0.000

POSCAR file:
```
BaMo2Br
1.0
3.388 0.000 0.000
0.000 3.281 0.000
-1.387 0.000 8.299
Ba Mo Br
1 2 1
Cartesian
0.000 0.000 0.000 Ba
0.235 1.640 5.742 Mo
1.767 0.000 4.622 Mo
1.702 1.640 2.381 Br
```


The winner here is #iii, beating the second structure by 95 meV/atom.


#i
BaMo2Br: optimized geometry, GGA-PBEsol.

- V (Å³/cell) = 101.1
- SG = Imm2, No. 44
- N(E_F) (states/eV per cell) = 3.24
- total magnetic moment (μB/atom) = 0.000

POSCAR file:
```
BaMo2Br
1.0
-1.669 3.067 4.937
1.669 -3.067 4.937
1.669 3.067 -4.937
Ba Mo Br
1 2 1
Cartesian
0.000 0.000 0.000 Ba
1.669 0.000 3.119 Mo
0.000 0.000 4.723 Mo
0.000 3.067 2.051 Br
```


#ii
BaMo2Br: optimized geometry, GGA-PBEsol.

- V (Å³/cell) = 109.5
- SG = P2/m, No. 10
- N(E_F) (states/eV per cell) = 2.92
- total magnetic moment (μB/atom) = 0.000

POSCAR file:
```
BaMo2Br
1.0
3.336 0.000 0.000
0.000 6.341 0.000
-0.086 0.000 5.178
Ba Mo Br
1 2 1
Cartesian
0.000 0.000 0.000 Ba
0.881 3.171 0.816 Mo
2.368 3.171 4.362 Mo
1.625 0.000 2.589 Br
```


The winner here is #ii, beating the second structure by 33 meV/atom.